No. 1
Y2AlBi | GGA-PBE | optimized geometry

## Properties
Crystal system: cubic
Energy above the lowest structure with this stoichiometry, meV per atom: 0.0
D(E_F), states/eV/cell: 15.11
Theoretical density, g cm⁻³: 6.32
Total energy, eV per atom: -5.512

CIF file:
```
data_Y2AlBi
_space_group_name_H-M_alt 'F m -3 m'
_space_group_IT_number 225
_space_group_name_Hall '-F 4 2 3'
_cell_length_a 7.5748
_cell_length_b 7.5748
_cell_length_c 7.5748
_cell_angle_alpha 90.00
_cell_angle_beta 90.00
_cell_angle_gamma 90.00
loop_
_atom_site_label
_atom_site_fract_x
_atom_site_fract_y
_atom_site_fract_z
_atom_site_occupancy
Y1 0.2500 0.2500 0.2500 1
Al1 0.0000 0.0000 0.0000 1
Bi1 0.0000 0.0000 0.5000 1
```



No. 2
YAlBi3 | GGA-PBE | optimized geometry

## Properties
Crystal system: cubic
Energy above the lowest structure with this stoichiometry, meV per atom: 216.4
D(E_F), states/eV/cell: 4.74
Theoretical density, g cm⁻³: 6.02
Total energy, eV per atom: -3.892

CIF file:
```
data_YAlBi3
_space_group_name_H-M_alt 'P m -3 m'
_space_group_IT_number 221
_space_group_name_Hall '-P 4 2 3'
_cell_length_a 5.8946
_cell_length_b 5.8946
_cell_length_c 5.8946
_cell_angle_alpha 90.00
_cell_angle_beta 90.00
_cell_angle_gamma 90.00
loop_
_atom_site_label
_atom_site_fract_x
_atom_site_fract_y
_atom_site_fract_z
_atom_site_occupancy
Y1 0.0000 0.0000 0.0000 1
Al1 0.5000 0.5000 0.5000 1
Bi1 0.0000 0.0000 0.5000 1
```